Here is an optimized crystal structure of La8GeIr2 from Alexandria. Energies are from PBE.

Results
- formation energy from the elements (eV/atom) = -0.4156
- crystal system = monoclinic
- space group = Cm (8)
- ρ (Mg/m³) = 7.42

Unit cell a=7.843 b=7.843 c=6.693 alpha=101.45 beta=101.45 gamma=113.80
Element x y z (fractional)
La (0.000, 0.000, 0.000)
La (0.011, 0.281, 0.595)
La (0.163, 0.574, 0.220)
La (0.281, 0.011, 0.595)
La (0.449, 0.723, 0.832)
La (0.574, 0.163, 0.220)
La (0.712, 0.712, 0.400)
La (0.723, 0.449, 0.832)
Ge (0.357, 0.357, 0.993)
Ir (0.049, 0.676, 0.695)
Ir (0.676, 0.049, 0.695)

=====

Here is an optimized crystal structure of La3Ge3Ir from Alexandria. Energies are from PBE.

Results
- formation energy from the elements (eV/atom) = -0.8433
- crystal system = monoclinic
- space group = C2/m (12)
- ρ (Mg/m³) = 7.91

Unit cell a=6.083 b=6.083 c=14.652 alpha=108.06 beta=108.06 gamma=42.77
Element x y z (fractional)
La (0.030, 0.030, 0.385)
La (0.106, 0.106, 0.921)
La (0.245, 0.245, 0.235)
La (0.755, 0.755, 0.765)
La (0.894, 0.894, 0.079)
La (0.970, 0.970, 0.615)
Ge (0.339, 0.339, 0.463)
Ge (0.395, 0.395, 0.927)
Ge (0.460, 0.460, 0.767)
Ge (0.540, 0.540, 0.233)
Ge (0.605, 0.605, 0.073)
Ge (0.661, 0.661, 0.537)
Ir (0.253, 0.253, 0.617)
Ir (0.747, 0.747, 0.383)

=====

Here is an optimized crystal structure of La2GeIr from Alexandria. Energies are from PBE.

Results
- formation energy from the elements (eV/atom) = -0.7807
- crystal system = monoclinic
- space group = P2_1/m (11)
- ρ (Mg/m³) = 8.65

Unit cell a=6.100 b=4.248 c=8.556 alpha=90.00 beta=110.10 gamma=90.00
Element x y z (fractional)
La (0.184, 0.250, 0.409)
La (0.277, 0.750, 0.053)
La (0.723, 0.250, 0.947)
La (0.816, 0.750, 0.591)
Ge (0.360, 0.750, 0.707)
Ge (0.640, 0.250, 0.293)
Ir (0.135, 0.250, 0.790)
Ir (0.865, 0.750, 0.210)

=====

Here is an optimized crystal structure of La5GeIr2 from Alexandria. Energies are from PBE.

Results
- formation energy from the elements (eV/atom) = -0.6947
- crystal system = tetragonal
- space group = I4/mcm (140)
- ρ (Mg/m³) = 8.61

Unit cell a=8.897 b=8.897 c=8.897 alpha=126.11 beta=126.11 gamma=79.71
Element x y z (fractional)
La (0.000, 0.000, 0.000)
La (0.025, 0.525, 0.827)
La (0.198, 0.025, 0.500)
La (0.302, 0.802, 0.827)
La (0.475, 0.302, 0.500)
La (0.500, 0.500, 0.000)
La (0.525, 0.698, 0.500)
La (0.698, 0.198, 0.173)
La (0.802, 0.975, 0.500)
La (0.975, 0.475, 0.173)
Ge (0.250, 0.250, 0.000)
Ge (0.750, 0.750, 0.000)
Ir (0.136, 0.364, 0.500)
Ir (0.364, 0.864, 0.227)
Ir (0.636, 0.136, 0.773)
Ir (0.864, 0.636, 0.500)